(1)
The following is a DFT calculation (PBE) of crystalline PmErCu2 at its relaxed geometry.

a = 3.7896 Å, b = 4.4873 Å, c = 5.5522 Å
α = 90.00°, β = 110.38°, γ = 90.00°
Atoms (fractional coordinates):
1 Cu 0.1515 0.5000 0.8397
2 Pm 0.7263 0.0000 0.9902
3 Er 0.4430 0.5000 0.4263
4 Cu 0.0102 0.0000 0.5618

Computed properties:
SG	Pm (6)
formation energy from the elements	-0.227	eV/atom

---

(2)
The following is a DFT calculation (PBE) of crystalline PmErCu4 at its relaxed geometry.

a = 5.2867 Å, b = 5.2867 Å, c = 5.2867 Å
α = 60.00°, β = 60.00°, γ = 60.00°
Atoms (fractional coordinates):
1 Cu 0.6258 0.6258 0.1226
2 Pm 0.2500 0.2500 0.2500
3 Cu 0.6258 0.1226 0.6258
4 Cu 0.1226 0.6258 0.6258
5 Er 0.0000 0.0000 0.0000
6 Cu 0.6258 0.6258 0.6258

Computed properties:
SG	F-43m (216)
formation energy from the elements	-0.143	eV/atom

---

(3)
The following is a DFT calculation (PBE) of crystalline PmEr2Cu at its relaxed geometry.

a = 3.6687 Å, b = 3.6687 Å, c = 9.8433 Å
α = 79.26°, β = 79.26°, γ = 60.00°
Atoms (fractional coordinates):
1 Er 0.2681 0.2681 0.1958
2 Er 0.0651 0.0651 0.8048
3 Cu 0.6658 0.6658 0.0025
4 Pm 0.5011 0.5011 0.4968

Computed properties:
SG	R3m (160)
formation energy from the elements	0.020	eV/atom

---

(4)
The following is a DFT calculation (PBE) of crystalline PmErCu2 at its relaxed geometry.

a = 3.4811 Å, b = 3.4811 Å, c = 7.0557 Å
α = 90.00°, β = 90.00°, γ = 90.00°
Atoms (fractional coordinates):
1 Pm 0.5000 0.5000 0.5000
2 Cu 0.0000 0.0000 0.2292
3 Cu 0.0000 0.0000 0.7708
4 Er 0.5000 0.5000 0.0000

Computed properties:
SG	P4/mmm (123)
formation energy from the elements	-0.224	eV/atom

---

(5)
The following is a DFT calculation (PBE) of crystalline PmEr3Cu2 at its relaxed geometry.

a = 3.4657 Å, b = 3.4657 Å, c = 12.1410 Å
α = 90.00°, β = 90.00°, γ = 90.00°
Atoms (fractional coordinates):
1 Cu 0.5000 0.5000 0.8586
2 Er 0.0000 0.0000 0.7213
3 Er 0.0000 0.0000 0.0000
4 Er 0.0000 0.0000 0.2787
5 Cu 0.5000 0.5000 0.1414
6 Pm 0.5000 0.5000 0.5000

Computed properties:
SG	P4/mmm (123)
formation energy from the elements	-0.170	eV/atom

---

(6)
The following is a DFT calculation (PBE) of crystalline Pm2ErCu6 at its relaxed geometry.

a = 3.6505 Å, b = 7.3662 Å, c = 7.3662 Å
α = 120.00°, β = 90.00°, γ = 90.00°
Atoms (fractional coordinates):
1 Cu 0.5000 0.6692 0.0000
2 Cu 0.5000 0.3308 0.0000
3 Cu 0.5000 0.0000 0.3308
4 Cu 0.5000 0.6692 0.6692
5 Er 0.0000 0.0000 0.0000
6 Cu 0.5000 0.3308 0.3308
7 Cu 0.5000 0.0000 0.6692
8 Pm 0.0000 0.6667 0.3333
9 Pm 0.0000 0.3333 0.6667

Computed properties:
SG	P6/mmm (191)
formation energy from the elements	-0.236	eV/atom

---

(7)
The following is a DFT calculation (PBE) of crystalline PmEr2Cu2 at its relaxed geometry.

a = 3.5049 Å, b = 5.1163 Å, c = 13.0789 Å
α = 90.00°, β = 97.70°, γ = 90.00°
Atoms (fractional coordinates):
1 Cu 0.3589 0.2500 0.7187
2 Pm 0.1422 0.2500 0.2827
3 Cu 0.4568 0.7500 0.9144
4 Er 0.7694 0.2500 0.5392
5 Pm 0.8578 0.7500 0.7173
6 Er 0.0464 0.7500 0.0930
7 Cu 0.6411 0.7500 0.2813
8 Er 0.2306 0.7500 0.4608
9 Cu 0.5432 0.2500 0.0856
10 Er 0.9536 0.2500 0.9070

Computed properties:
SG	P2_1/m (11)
formation energy from the elements	-0.155	eV/atom

---

(8)
The following is a DFT calculation (PBE) of crystalline Pm2ErCu6 at its relaxed geometry.

a = 3.5348 Å, b = 7.9291 Å, c = 7.9291 Å
α = 54.63°, β = 77.12°, γ = 77.12°
Atoms (fractional coordinates):
1 Pm 0.3558 0.1442 0.1442
2 Er 0.5000 0.5000 0.5000
3 Cu 0.8359 0.8351 0.4932
4 Cu 0.1641 0.1649 0.5068
5 Pm 0.6442 0.8558 0.8558
6 Cu 0.1641 0.5068 0.1649
7 Cu 0.8359 0.4932 0.8351
8 Cu 0.0000 0.1800 0.8200
9 Cu 0.0000 0.8200 0.1800

Computed properties:
SG	Immm (71)
formation energy from the elements	-0.088	eV/atom

---

(9)
The following is a DFT calculation (PBE) of crystalline PmEr4Cu5 at its relaxed geometry.

a = 3.4366 Å, b = 3.4366 Å, c = 17.5192 Å
α = 90.00°, β = 90.00°, γ = 90.00°
Atoms (fractional coordinates):
1 Er 0.0000 0.0000 0.7955
2 Er 0.0000 0.0000 0.4014
3 Cu 0.5000 0.5000 0.6973
4 Cu 0.5000 0.5000 0.3027
5 Er 0.0000 0.0000 0.5986
6 Er 0.0000 0.0000 0.2045
7 Pm 0.0000 0.0000 0.0000
8 Cu 0.5000 0.5000 0.5000
9 Cu 0.5000 0.5000 0.8901
10 Cu 0.5000 0.5000 0.1099

Computed properties:
SG	P4/mmm (123)
formation energy from the elements	-0.258	eV/atom

---

(10)
The following is a DFT calculation (PBE) of crystalline Pm2ErCuS5 at its relaxed geometry.

a = 3.8911 Å, b = 8.6133 Å, c = 11.5854 Å
α = 90.00°, β = 90.00°, γ = 103.05°
Atoms (fractional coordinates):
1 Pm 0.1222 0.2445 0.3100
2 Cu 0.5582 0.1164 0.9547
3 Pm 0.8917 0.7835 0.1862
4 S 0.5016 0.0031 0.2788
5 S 0.0434 0.0868 0.0603
6 Pm 0.8778 0.7555 0.8100
7 Er 0.1950 0.3899 0.0104
8 S 0.6865 0.3729 0.8489
9 S 0.2887 0.5774 0.6729
10 S 0.7113 0.4226 0.1729
11 S 0.6432 0.2864 0.5017
12 Er 0.8050 0.6101 0.5104
13 S 0.3568 0.7136 0.0017
14 Pm 0.1083 0.2165 0.6862
15 S 0.3135 0.6271 0.3489
16 Cu 0.4418 0.8836 0.4547
17 S 0.9566 0.9132 0.5603
18 S 0.4984 0.9969 0.7788

Computed properties:
energy relative to the elements, uncorrected	-1755	meV/atom
SG	Cmc2_1 (36)

---

(11)
The following is a DFT calculation (PBE) of crystalline PmErCu2S4 at its relaxed geometry.

a = 6.4868 Å, b = 6.0073 Å, c = 6.0073 Å
α = 66.96°, β = 57.32°, γ = 57.32°
Atoms (fractional coordinates):
1 S 0.5533 0.4659 0.9185
2 Cu 0.8317 0.6683 0.6683
3 S 0.0622 0.9185 0.4659
4 S 0.4467 0.0815 0.5341
5 Er 0.5000 0.5000 0.5000
6 Cu 0.1683 0.3317 0.3317
7 Pm 0.0000 0.0000 0.0000
8 S 0.9378 0.5341 0.0815

Computed properties:
energy relative to the elements, uncorrected	-1198	meV/atom
SG	I222 (23)

---

(12)
The following is a DFT calculation (PBE) of crystalline PmEr2CuSe5 at its relaxed geometry.

a = 3.9463 Å, b = 9.7074 Å, c = 11.5712 Å
α = 90.00°, β = 90.00°, γ = 101.73°
Atoms (fractional coordinates):
1 Se 0.6722 0.3444 0.8260
2 Se 0.0450 0.0899 0.0636
3 Cu 0.4314 0.8628 0.4515
4 Se 0.9550 0.9101 0.5636
5 Se 0.3584 0.7167 0.0046
6 Se 0.5035 0.0069 0.2818
7 Se 0.4965 0.9931 0.7818
8 Cu 0.5686 0.1372 0.9515
9 Er 0.8898 0.7795 0.8082
10 Se 0.3022 0.6043 0.6956
11 Se 0.6978 0.3957 0.1956
12 Se 0.3278 0.6556 0.3260
13 Er 0.1102 0.2205 0.3082
14 Pm 0.1924 0.3848 0.0101
15 Er 0.0909 0.1818 0.6825
16 Er 0.9091 0.8182 0.1825
17 Se 0.6416 0.2833 0.5046
18 Pm 0.8076 0.6152 0.5101

Computed properties:
energy relative to the elements, uncorrected	-1490	meV/atom
SG	Cmc2_1 (36)

---

(13)
The following is a DFT calculation (PBE) of crystalline PmErCu2Si2 at its relaxed geometry.

a = 4.1769 Å, b = 4.1769 Å, c = 7.5439 Å
α = 90.00°, β = 90.00°, γ = 120.00°
Atoms (fractional coordinates):
1 Cu 0.3333 0.6667 0.7318
2 Pm 0.0000 0.0000 0.0000
3 Si 0.6667 0.3333 0.7393
4 Cu 0.6667 0.3333 0.2682
5 Er 0.0000 0.0000 0.5000
6 Si 0.3333 0.6667 0.2607

Computed properties:
energy relative to the elements, uncorrected	-658	meV/atom
SG	P-3m1 (164)

---

(14)
The following is a DFT calculation (PBE) of crystalline PmErCuSn at its relaxed geometry.

a = 5.1914 Å, b = 5.1914 Å, c = 5.1914 Å
α = 60.00°, β = 60.00°, γ = 60.00°
Atoms (fractional coordinates):
1 Er 0.0000 0.0000 0.0000
2 Cu 0.7500 0.7500 0.7500
3 Sn 0.2500 0.2500 0.2500
4 Pm 0.5000 0.5000 0.5000

Computed properties:
SG	F-43m (216)
formation energy from the elements	-0.417	eV/atom

---

(15)
The following is a DFT calculation (PBE) of crystalline Pm2ErCuTe5 at its relaxed geometry.

a = 4.2880 Å, b = 9.7149 Å, c = 12.9767 Å
α = 90.00°, β = 90.00°, γ = 102.75°
Atoms (fractional coordinates):
1 Er 0.8097 0.6195 0.5093
2 Te 0.3117 0.6233 0.3425
3 Pm 0.8756 0.7511 0.8056
4 Te 0.0414 0.0829 0.0648
5 Cu 0.5717 0.1434 0.9589
6 Er 0.1903 0.3805 0.0093
7 Te 0.6883 0.3767 0.8424
8 Cu 0.4283 0.8566 0.4589
9 Te 0.9585 0.9171 0.5648
10 Te 0.4999 0.9998 0.2868
11 Te 0.2859 0.5718 0.6714
12 Pm 0.1244 0.2489 0.3056
13 Te 0.7141 0.4282 0.1714
14 Te 0.6460 0.2919 0.4990
15 Pm 0.8908 0.7816 0.1857
16 Te 0.5001 0.0002 0.7868
17 Te 0.3540 0.7081 0.9990
18 Pm 0.1092 0.2184 0.6857

Computed properties:
energy relative to the elements, uncorrected	-1188	meV/atom
SG	Cmc2_1 (36)

---

(16)
The following is a DFT calculation (PBE) of crystalline PmErTlCu at its relaxed geometry.

a = 5.2266 Å, b = 5.2266 Å, c = 5.2266 Å
α = 60.00°, β = 60.00°, γ = 60.00°
Atoms (fractional coordinates):
1 Er 0.5000 0.5000 0.5000
2 Pm 0.0000 0.0000 0.0000
3 Cu 0.2500 0.2500 0.2500
4 Tl 0.7500 0.7500 0.7500

Computed properties:
SG	F-43m (216)
formation energy from the elements	-0.228	eV/atom

---

(17)
The following is a DFT calculation (PBE) of crystalline PmYErCu at its relaxed geometry.

a = 3.5043 Å, b = 3.5043 Å, c = 8.7436 Å
α = 90.00°, β = 90.00°, γ = 90.00°
Atoms (fractional coordinates):
1 Pm 0.0000 0.0000 0.0752
2 Er 0.5000 0.5000 0.3795
3 Y 0.5000 0.5000 0.7654
4 Cu 0.0000 0.0000 0.5647

Computed properties:
SG	P4mm (99)
formation energy from the elements	-0.104	eV/atom

---

(18)
The following is a DFT calculation (PBE) of crystalline PmErZnCu at its relaxed geometry.

a = 5.0236 Å, b = 5.0236 Å, c = 5.0236 Å
α = 60.00°, β = 60.00°, γ = 60.00°
Atoms (fractional coordinates):
1 Zn 0.7500 0.7500 0.7500
2 Pm 0.0000 0.0000 0.0000
3 Er 0.5000 0.5000 0.5000
4 Cu 0.2500 0.2500 0.2500

Computed properties:
SG	F-43m (216)
formation energy from the elements	-0.263	eV/atom

---

(19)
The following is a DFT calculation (PBE) of crystalline PmErZnCu at its relaxed geometry.

a = 3.5371 Å, b = 3.5371 Å, c = 7.1530 Å
α = 90.00°, β = 90.00°, γ = 90.00°
Atoms (fractional coordinates):
1 Cu 0.0000 0.0000 0.3788
2 Zn 0.0000 0.0000 0.8402
3 Er 0.5000 0.5000 0.5980
4 Pm 0.5000 0.5000 0.1109

Computed properties:
SG	P4mm (99)
formation energy from the elements	-0.272	eV/atom

---

(20)
The following is a DFT calculation (PBE) of crystalline PrEr5Cu4 at its relaxed geometry.

a = 3.4373 Å, b = 3.4373 Å, c = 19.2487 Å
α = 90.00°, β = 90.00°, γ = 90.00°
Atoms (fractional coordinates):
1 Er 0.5000 0.5000 0.8572
2 Cu 0.0000 0.0000 0.5900
3 Cu 0.0000 0.0000 0.7706
4 Er 0.5000 0.5000 0.5000
5 Cu 0.0000 0.0000 0.2294
6 Er 0.5000 0.5000 0.6800
7 Pr 0.0000 0.0000 0.0000
8 Er 0.5000 0.5000 0.3200
9 Cu 0.0000 0.0000 0.4100
10 Er 0.5000 0.5000 0.1428

Computed properties:
SG	P4/mmm (123)
formation energy from the elements	-0.215	eV/atom